1.
Crystalline Cu4NiAu7 at its relaxed geometry. Source: Alexandria, functional PBE.

Properties
ρ = 13.56 g/cm³
ΔH_f (0 K) = 187 meV/atom
E above lowest polymorph = 2.46 kcal/mol of atoms
Size of the total moment = 0.47 μB per formula unit

abc: 4.765 8.122 6.105
angles: 79.09 67.03 72.94
Site moments in Bohr magnetons follow the coordinates.
Element x y z (fractional)
Cu (0.568, 0.225, 0.640)  0.00
Cu (0.432, 0.775, 0.360)  0.00
Cu (0.715, 0.673, 0.896)  0.00
Cu (0.285, 0.327, 0.104)  0.00
Ni (0.000, 0.000, 0.000)  0.47
Au (0.792, 0.899, 0.517)  0.00
Au (0.208, 0.101, 0.483)  0.00
Au (0.078, 0.671, 0.172)  0.00
Au (0.922, 0.329, 0.828)  0.00
Au (0.359, 0.557, 0.726)  0.00
Au (0.500, 0.000, 0.000)  0.02
Au (0.641, 0.443, 0.274)  0.00

***

2.
Crystalline NaTlFeBr5 at its relaxed geometry. Source: Alexandria, functional PBE.

Properties
ρ = 3.87 g/cm³
E_form (uncorrected) = -81.01 kJ/mol of atoms
Size of the total moment = 4.96 μB per formula unit

abc: 8.129 8.129 10.038
angles: 104.42 104.42 104.77
Site moments in Bohr magnetons follow the coordinates.
Element x y z (fractional)
Na (0.000, 0.000, 0.500)  0.00
Na (0.000, 0.000, 0.000)  0.00
Tl (0.322, 0.678, 0.250)  0.02
Tl (0.678, 0.322, 0.750)  0.02
Fe (0.671, 0.329, 0.250)  3.66
Fe (0.329, 0.671, 0.750)  3.66
Br (0.089, 0.911, 0.250)  0.01
Br (0.911, 0.089, 0.750)  0.01
Br (0.896, 0.344, 0.137)  0.18
Br (0.104, 0.656, 0.863)  0.18
Br (0.656, 0.104, 0.363)  0.18
Br (0.344, 0.896, 0.637)  0.18
Br (0.732, 0.603, 0.433)  0.20
Br (0.268, 0.397, 0.567)  0.20
Br (0.397, 0.268, 0.067)  0.20
Br (0.603, 0.732, 0.933)  0.20

***

3.
Crystalline Mg2TaFe at its relaxed geometry. Source: Alexandria, functional PBE.

Properties
ρ = 6.85 g/cm³
ΔH_f (0 K) = 267 meV/atom
E above lowest polymorph = 4.10 kcal/mol of atoms
Size of the total moment = 0.00 μB per formula unit

abc: 5.354 5.354 4.811
angles: 63.30 63.30 34.69
Element x y z (fractional)
Fe (0.232, 0.232, 0.268)
Mg (0.971, 0.971, 0.028)
Mg (0.754, 0.754, 0.747)
Ta (0.543, 0.543, 0.457)